# 1
The following is a PBE-GGA calculation of a relaxed TbPrNd2Tl2 crystal, from Alexandria via LeMat-Bulk.

Unit cell a=5.247 b=6.955 c=10.286 alpha=90.00 beta=90.00 gamma=90.00
Atoms (fractional coordinates):
Tb 0.500 0.181 0.688
Tb 0.500 0.681 0.312
Pr 0.000 0.960 0.456
Pr 0.000 0.460 0.544
Nd 0.500 0.555 0.954
Nd 0.000 0.830 0.818
Nd 0.000 0.330 0.182
Nd 0.500 0.055 0.046
Tl 0.000 0.297 0.859
Tl 0.500 0.222 0.369
Tl 0.500 0.722 0.631
Tl 0.000 0.797 0.141

For the magnetization, the calculation gives 0.000 μB/f.u. As for the volume: 31.28 A^3/atom. The calculation puts the calculated formation energy at -1.6 eV/f.u.

***

# 2
The following is a PBE-GGA calculation of a relaxed TbPr2Nd4Tm crystal, from Alexandria via LeMat-Bulk.

Unit cell a=5.178 b=5.155 c=11.529 alpha=63.33 beta=90.00 gamma=90.00
Atoms (fractional coordinates):
Pr 0.000 0.000 0.000
Pr 0.500 0.000 0.500
Nd 0.500 0.251 0.749
Nd 0.000 0.752 0.748
Nd 0.500 0.749 0.251
Nd 0.000 0.248 0.252
Tm 0.000 0.500 0.500
Tb 0.500 0.500 0.000

For the magnetization, the calculation gives 0.000 μB/f.u. As for the volume: 34.37 A^3/atom. The calculation puts the calculated formation energy at 0.1 eV/f.u.

***

What did the first record say?
The following is a PBE-GGA calculation of a relaxed TbPrNd2Tl2 crystal, from Alexandria via LeMat-Bulk.

Unit cell a=5.247 b=6.955 c=10.286 alpha=90.00 beta=90.00 gamma=90.00
Atoms (fractional coordinates):
Tb 0.500 0.181 0.688
Tb 0.500 0.681 0.312
Pr 0.000 0.960 0.456
Pr 0.000 0.460 0.544
Nd 0.500 0.555 0.954
Nd 0.000 0.830 0.818
Nd 0.000 0.330 0.182
Nd 0.500 0.055 0.046
Tl 0.000 0.297 0.859
Tl 0.500 0.222 0.369
Tl 0.500 0.722 0.631
Tl 0.000 0.797 0.141

For the magnetization, the calculation gives 0.000 μB/f.u. As for the volume: 31.28 A^3/atom. The calculation puts the calculated formation energy at -1.6 eV/f.u.

***

> What is the formula in the second record?

TbPr2Nd4Tm

***

> Which value of volume does entry 2 give?

34.37 A^3/atom

***

> volume of number 2 (TbPr2Nd4Tm)?

34.37 A^3/atom